[1]
An optimized crystal structure of Sc2CrGaHg. Source: the Alexandria database, functional GGA-PBE.

## Properties
energy relative to the elements = 0.443 eV/atom
uncorrected energy = -23.4 eV for the cell shown
space group = P4/mmm (123)
total moment = 0.0010 μB per atom

Lattice parameters (Å, degrees): 4.707 4.707 5.096 90.00 90.00 90.00
Fractional coordinates of all 5 atoms:
Sc  0.000  0.500  0.000
Sc  0.500  0.000  0.000
Cr  0.000  0.000  0.000
Ga  0.500  0.500  0.500
Hg  0.000  0.000  0.500

***

[2]
An optimized crystal structure of HoCrGa6. Source: the Alexandria database, functional GGA-PBE.

## Properties
energy relative to the elements = -0.087 eV/atom
uncorrected energy = -33.1 eV for the cell shown
space group = R-3m (166)
total moment = 0.2406 μB per atom

Lattice parameters (Å, degrees): 5.742 5.742 5.742 107.16 107.16 107.16
Fractional coordinates of all 8 atoms:
Ho  0.000  0.000  0.000
Cr  0.500  0.500  0.500
Ga  0.219  0.219  0.651
Ga  0.219  0.651  0.219
Ga  0.349  0.781  0.781
Ga  0.651  0.219  0.219
Ga  0.781  0.349  0.781
Ga  0.781  0.781  0.349

***

[3]
An optimized crystal structure of Cr2Ga2I. Source: the Alexandria database, functional GGA-PBE.

## Properties
formation energy (no corrections) = 0.569 eV/atom
uncorrected energy = -24.0 eV for the cell shown
space group = I4/mmm (139)
distance to the lowest polymorph of the same formula = 0.0043 eV/atom
total moment = 0.0000 μB per atom

Lattice parameters (Å, degrees): 8.544 8.544 8.544 157.10 157.10 32.61
Fractional coordinates of all 5 atoms:
Cr  0.250  0.750  0.500
Cr  0.750  0.250  0.500
Ga  0.127  0.127  0.000
Ga  0.873  0.873  0.000
I  0.500  0.500  0.000

***

[4]
An optimized crystal structure of Cr3GaI. Source: the Alexandria database, functional GGA-PBE.

## Properties
formation energy (no corrections) = 1.457 eV/atom
uncorrected energy = -26.2 eV for the cell shown
space group = Pm-3m (221)
distance to the lowest polymorph of the same formula = 0.5128 eV/atom
total moment = 2.4136 μB per atom

Lattice parameters (Å, degrees): 5.089 5.089 5.089 90.00 90.00 90.00
Fractional coordinates of all 5 atoms:
Cr  0.000  0.000  0.500
Cr  0.000  0.500  0.000
Cr  0.500  0.000  0.000
Ga  0.500  0.500  0.500
I  0.000  0.000  0.000